[1]
An optimized crystal structure of Na3SrPd. Source: Alexandria via LeMat-Bulk, functional PBE.

Geometry as POSCAR:
```
Na3SrPd
1.0
6.436 0.000 0.000
0.000 6.436 0.000
0.000 0.000 6.436
Na Sr Pd
3 1 1
Cartesian
0.000 0.000 3.218
0.000 3.218 0.000
3.218 0.000 0.000
0.000 0.000 0.000
3.218 3.218 3.218
```

Values from the calculation:
E above lowest polymorph: 0.983 eV/atom
energy: -1.119 eV/atom
DFT formation energy: 1.0469 eV per atom
symmetry: Pm-3m

[2]
An optimized crystal structure of ZrBe9Nb2. Source: Alexandria via LeMat-Bulk, functional PBE.

Geometry as POSCAR:
```
ZrBe9Nb2
1.0
2.306 1.331 7.172
-2.306 1.331 7.172
0.000 -2.662 7.172
Zr Be Nb
1 9 2
Cartesian
0.000 0.000 0.000
-1.174 -0.678 8.951
0.000 0.000 7.207
0.000 -1.355 12.564
-1.174 0.678 12.564
0.000 0.000 10.758
1.174 -0.678 8.951
0.000 1.355 8.951
0.000 0.000 14.308
1.174 0.678 12.564
0.000 0.000 3.065
0.000 0.000 18.450
```

Values from the calculation:
E above lowest polymorph: 0.000 eV/atom
energy: -5.437 eV/atom
DFT formation energy: -0.2520 eV per atom
symmetry: R-3m

[3]
An optimized crystal structure of TaMnAl2. Source: Alexandria via LeMat-Bulk, functional PBE.

Geometry as POSCAR:
```
TaMnAl2
1.0
9.751 0.000 0.000
0.000 3.071 0.000
-1.942 0.000 3.912
Ta Mn Al
2 2 4
Cartesian
0.000 0.000 0.000
4.876 1.535 0.000
-0.971 1.535 1.956
3.905 0.000 1.956
0.836 0.000 2.861
2.098 1.535 1.051
5.711 1.535 2.861
6.973 0.000 1.051
```

Values from the calculation:
E above lowest polymorph: 0.075 eV/atom
energy: -7.268 eV/atom
DFT formation energy: -0.1413 eV per atom
symmetry: C2/m

[4]
An optimized crystal structure of ScSiHg. Source: Alexandria via LeMat-Bulk, functional PBE.

Geometry as POSCAR:
```
ScSiHg
1.0
16.020 0.000 0.000
0.000 4.023 0.000
-0.645 0.000 3.690
Sc Si Hg
4 4 4
Cartesian
1.193 0.000 1.145
6.172 2.012 2.545
9.203 2.012 1.145
14.183 0.000 2.545
0.265 2.012 2.894
7.101 0.000 0.796
8.275 0.000 2.894
15.111 2.012 0.796
2.955 2.012 2.720
4.411 0.000 0.970
10.965 0.000 2.720
12.421 2.012 0.970
```

Values from the calculation:
E above lowest polymorph: 0.000 eV/atom
energy: -4.461 eV/atom
raw formation energy: -0.442 eV/atom
symmetry: C2/m

[5]
An optimized crystal structure of NaMgAlPb. Source: Alexandria via LeMat-Bulk, functional PBE.

Geometry as POSCAR:
```
NaMgAlPb
1.0
7.284 0.000 0.000
0.000 7.284 0.000
0.000 0.000 7.284
Na Mg Al Pb
4 4 4 4
Cartesian
0.000 0.000 0.000
0.000 3.642 3.642
3.642 0.000 3.642
3.642 3.642 0.000
0.000 0.000 3.642
0.000 3.642 0.000
3.642 0.000 0.000
3.642 3.642 3.642
1.821 1.821 5.463
1.821 5.463 1.821
5.463 1.821 1.821
5.463 5.463 5.463
1.821 1.821 1.821
1.821 5.463 5.463
5.463 1.821 5.463
5.463 5.463 1.821
```

Values from the calculation:
energy: -2.540 eV/atom
DFT formation energy: 0.0514 eV per atom
symmetry: F-43m

[6]
An optimized crystal structure of Li2InBIr. Source: Alexandria via LeMat-Bulk, functional PBE.

Geometry as POSCAR:
```
Li2InBIr
1.0
4.207 0.000 0.000
0.000 4.207 0.000
0.000 0.000 4.048
Li In B Ir
2 1 1 1
Cartesian
0.000 2.104 0.000
2.104 0.000 0.000
0.000 0.000 2.024
2.104 2.104 0.000
2.104 2.104 2.024
```

Values from the calculation:
energy: -4.541 eV/atom
DFT formation energy: -0.1203 eV per atom
symmetry: P4/mmm

[7]
An optimized crystal structure of YTh6Sc8. Source: Alexandria via LeMat-Bulk, functional PBE.

Geometry as POSCAR:
```
YTh6Sc8
1.0
4.605 2.659 5.786
-4.605 2.659 5.786
0.000 -5.318 5.786
Y Th Sc
1 6 8
Cartesian
0.000 0.000 0.000
-1.171 -1.657 7.101
-2.021 0.186 10.259
-0.849 1.843 7.101
0.849 -1.843 10.259
2.021 -0.186 7.101
1.171 1.657 10.259
-3.780 0.405 7.511
-2.241 -3.071 9.848
0.000 0.000 3.912
1.539 -3.476 7.511
-1.539 3.476 9.848
0.000 0.000 13.447
2.241 3.071 7.511
3.780 -0.405 9.848
```

Values from the calculation:
energy: -6.594 eV/atom
DFT formation energy: 0.1820 eV per atom
symmetry: R-3

[8]
An optimized crystal structure of Tb2Ga2Au. Source: Alexandria via LeMat-Bulk, functional PBE.

Geometry as POSCAR:
```
Tb2Ga2Au
1.0
5.357 -2.220 0.000
5.357 2.220 0.000
-4.929 0.000 9.424
Tb Ga Au
4 4 2
Cartesian
-1.476 0.000 3.092
1.448 0.000 1.030
4.338 0.000 8.394
7.261 0.000 6.332
1.714 0.000 4.174
4.511 0.000 1.014
1.275 0.000 8.410
4.071 0.000 5.251
-0.324 0.000 6.235
6.109 0.000 3.189
```

Values from the calculation:
energy: -4.452 eV/atom
DFT formation energy: -0.7336 eV per atom
symmetry: C2/m